1.
Below is a crystal of BeInRe2 relaxed with PBEsol, with properties calculated at the meta-GGA SCAN level.

Unit cell a=3.7498 b=3.7498 c=4.2102 alpha=90.00 beta=90.00 gamma=90.00
Space group P4/mmm (No. 123)
Symmetry-distinct sites (fractional):
Be: 0.0000 0.0000 0.0000
In: 0.5000 0.5000 0.0000
Re: 0.0000 0.5000 0.5000

Summary:
Calculated volume, Å³/atom: 14.80
Theoretical density, g/cm³: 13.9
Excess energy over the best structure of this formula in the dataset, eV per atom: 0.220
Total energy, eV/atom: -44.39



2.
Below is a crystal of ReNiHg3 relaxed with PBEsol, with properties calculated at the meta-GGA SCAN level.

Unit cell a=5.1542 b=5.1542 c=5.1542 alpha=90.00 beta=90.00 gamma=90.00
Space group Pm-3m (No. 221)
Symmetry-distinct sites (fractional):
Re: 0.0000 0.0000 0.0000
Ni: 0.5000 0.5000 0.5000
Hg: 0.0000 0.0000 0.5000

Summary:
Calculated volume, Å³/atom: 27.39
Theoretical density, g/cm³: 10.3
Total energy, eV/atom: -56.81